Record 1
# KTl11Hg (GGA-PBE, relaxed)
data_KTl11Hg
_chemical_formula_sum 'K2 Tl22 Hg2'
_symmetry_space_group_name_H-M 'C 1 2/m 1'
_symmetry_Int_Tables_number 12
_cell_length_a 6.4864
_cell_length_b 16.0855
_cell_length_c 8.6507
_cell_angle_alpha 90.00
_cell_angle_beta 111.53
_cell_angle_gamma 90.00
loop_
_symmetry_equiv_pos_as_xyz
'x,y,z'
'-x,-y,-z'
'-x,y,-z'
'x,-y,z'
'x+1/2,y+1/2,z'
'-x+1/2,-y+1/2,-z'
'-x+1/2,y+1/2,-z'
'x+1/2,-y+1/2,z'
loop_
_atom_site_label
_atom_site_type_symbol
_atom_site_fract_x
_atom_site_fract_y
_atom_site_fract_z
K1 K 0.0000 0.0000 0.0000
Tl1 Tl 0.0000 0.0000 0.5000
Tl2 Tl 0.1022 0.3949 0.2153
Tl3 Tl 0.1796 0.1777 0.3590
Tl4 Tl 0.2500 0.2500 0.0000
Hg1 Hg 0.0000 0.5000 0.5000
# formation energy	-1	kJ per mole of atoms
# uncorrected energy	-2.121	eV/atom

Record 2
# K2TlHg6 (GGA-PBE, relaxed)
data_K2TlHg6
_chemical_formula_sum 'K4 Tl2 Hg12'
_symmetry_space_group_name_H-M 'C 1 2/m 1'
_symmetry_Int_Tables_number 12
_cell_length_a 8.9742
_cell_length_b 9.3888
_cell_length_c 6.4817
_cell_angle_alpha 90.00
_cell_angle_beta 93.05
_cell_angle_gamma 90.00
loop_
_symmetry_equiv_pos_as_xyz
'x,y,z'
'-x,-y,-z'
'-x,y,-z'
'x,-y,z'
'x+1/2,y+1/2,z'
'-x+1/2,-y+1/2,-z'
'-x+1/2,y+1/2,-z'
'x+1/2,-y+1/2,z'
loop_
_atom_site_label
_atom_site_type_symbol
_atom_site_fract_x
_atom_site_fract_y
_atom_site_fract_z
K1 K 0.1692 0.0000 0.1731
Tl1 Tl 0.0000 0.5000 0.5000
Hg1 Hg 0.0000 0.3337 0.0000
Hg2 Hg 0.1698 0.1666 0.6693
# formation energy	-17	kJ per mole of atoms
# uncorrected energy	-0.887	eV/atom

Record 3
# KTl2Hg (GGA-PBE, relaxed)
data_KTl2Hg
_chemical_formula_sum 'K1 Tl2 Hg1'
_symmetry_space_group_name_H-M 'P 1 2/m 1'
_symmetry_Int_Tables_number 10
_cell_length_a 3.7572
_cell_length_b 5.2596
_cell_length_c 6.7458
_cell_angle_alpha 90.00
_cell_angle_beta 102.76
_cell_angle_gamma 90.00
loop_
_symmetry_equiv_pos_as_xyz
'x,y,z'
'-x,-y,-z'
'-x,y,-z'
'x,-y,z'
loop_
_atom_site_label
_atom_site_type_symbol
_atom_site_fract_x
_atom_site_fract_y
_atom_site_fract_z
K1 K 0.0000 0.0000 0.0000
Tl1 Tl 0.3320 0.5000 0.7175
Hg1 Hg 0.5000 0.0000 0.5000
# formation energy	-9	kJ per mole of atoms
# uncorrected energy	-1.629	eV/atom

Record 4
# KTlHg4 (GGA-PBE, relaxed)
data_KTlHg4
_chemical_formula_sum 'K4 Tl4 Hg16'
_symmetry_space_group_name_H-M 'F -4 3 m'
_symmetry_Int_Tables_number 216
_symmetry_space_group_name_Hall 'F -4 2 3'
_cell_length_a 8.9115
_cell_length_b 8.9115
_cell_length_c 8.9115
_cell_angle_alpha 90.00
_cell_angle_beta 90.00
_cell_angle_gamma 90.00
loop_
_atom_site_label
_atom_site_type_symbol
_atom_site_fract_x
_atom_site_fract_y
_atom_site_fract_z
K1 K 0.0000 0.0000 0.0000
Tl1 Tl 0.2500 0.2500 0.7500
Hg1 Hg 0.1248 0.1248 0.3752
# formation energy	-11	kJ per mole of atoms
# uncorrected energy	-0.897	eV/atom